First-principles (PBE-GGA) data for a relaxed Pa2Sn2Ru3 crystal, as listed in Alexandria via LeMat-Bulk.

Cell: 6.767 6.767 5.147 Å, 94.96 94.96 40.35°
Sites, in units of the cell vectors:
Pa (0.152, 0.152, 0.360)
Pa (0.848, 0.848, 0.640)
Sn (0.405, 0.405, 0.161)
Sn (0.595, 0.595, 0.839)
Ru (0.000, 0.000, 0.000)
Ru (0.214, 0.214, 0.809)
Ru (0.786, 0.786, 0.191)

Energy above the lowest structure with this stoichiometry (meV/atom): 0
E_form (eV/atom): -0.497
Space group: No. 12

---

First-principles (PBE-GGA) data for a relaxed MnFe8Co4 crystal, as listed in Alexandria via LeMat-Bulk.

Cell: 8.147 8.147 8.147 Å, 34.86 34.86 34.86°
Sites, in units of the cell vectors:
Mn (0.000, 0.000, 0.000)
Fe (0.248, 0.248, 0.738)
Fe (0.248, 0.738, 0.248)
Fe (0.262, 0.752, 0.752)
Fe (0.310, 0.310, 0.310)
Fe (0.690, 0.690, 0.690)
Fe (0.738, 0.248, 0.248)
Fe (0.752, 0.262, 0.752)
Fe (0.752, 0.752, 0.262)
Co (0.000, 0.000, 0.500)
Co (0.000, 0.500, 0.000)
Co (0.500, 0.000, 0.000)
Co (0.500, 0.500, 0.500)

E_form (eV/atom): 0.284
Space group: No. 166

---

First-principles (PBE-GGA) data for a relaxed CsTlRuC2 crystal, as listed in Alexandria via LeMat-Bulk.

Cell: 4.694 4.694 5.246 Å, 90.00 90.00 90.00°
Sites, in units of the cell vectors:
Cs (0.000, 0.000, 0.000)
Tl (0.500, 0.500, 0.500)
Ru (0.000, 0.000, 0.500)
C (0.000, 0.500, 0.000)
C (0.500, 0.000, 0.000)

E_form (eV/atom): 3.500
Space group: No. 123

---

First-principles (PBE-GGA) data for a relaxed PrIn3Hg3 crystal, as listed in Alexandria via LeMat-Bulk.

Cell: 9.121 9.121 5.158 Å, 90.00 90.00 120.00°
Sites, in units of the cell vectors:
Pr (0.333, 0.667, 0.250)
Pr (0.667, 0.333, 0.750)
In (0.020, 0.786, 0.250)
In (0.214, 0.234, 0.250)
In (0.234, 0.020, 0.750)
In (0.766, 0.980, 0.250)
In (0.786, 0.766, 0.750)
In (0.980, 0.214, 0.750)
Hg (0.093, 0.618, 0.750)
Hg (0.382, 0.475, 0.750)
Hg (0.475, 0.093, 0.250)
Hg (0.525, 0.907, 0.750)
Hg (0.618, 0.525, 0.250)
Hg (0.907, 0.382, 0.250)

Energy above the lowest structure with this stoichiometry (meV/atom): 6
E_form (eV/atom): -0.173
Space group: No. 176

---

First-principles (PBE-GGA) data for a relaxed TiMnB2Pb crystal, as listed in Alexandria via LeMat-Bulk.

Cell: 4.096 4.096 4.510 Å, 90.00 90.00 90.00°
Sites, in units of the cell vectors:
Ti (0.000, 0.000, 0.000)
Mn (0.000, 0.000, 0.500)
B (0.000, 0.500, 0.500)
B (0.500, 0.000, 0.500)
Pb (0.500, 0.500, 0.000)

Energy above the lowest structure with this stoichiometry (meV/atom): 0
E_form (eV/atom): 0.764
Space group: No. 123

---

First-principles (PBE-GGA) data for a relaxed NaPrI crystal, as listed in Alexandria via LeMat-Bulk.

Cell: 3.952 3.952 14.739 Å, 90.00 90.00 90.00°
Sites, in units of the cell vectors:
Na (0.250, 0.250, 0.073)
Na (0.750, 0.750, 0.927)
Pr (0.250, 0.250, 0.748)
Pr (0.750, 0.750, 0.252)
I (0.250, 0.250, 0.368)
I (0.750, 0.750, 0.632)

Space group: No. 129
Raw formation energy (kJ/mol of atoms): -47.27

---

First-principles (PBE-GGA) data for a relaxed Y4InPt crystal, as listed in Alexandria via LeMat-Bulk.

Cell: 6.104 6.104 6.104 Å, 60.00 60.00 60.00°
Sites, in units of the cell vectors:
Y (0.125, 0.125, 0.125)
Y (0.125, 0.125, 0.624)
Y (0.125, 0.624, 0.125)
Y (0.624, 0.125, 0.125)
In (0.750, 0.750, 0.750)
Pt (0.500, 0.500, 0.500)

Energy above the lowest structure with this stoichiometry (meV/atom): 942
E_form (eV/atom): 0.255
Space group: No. 216

---

First-principles (PBE-GGA) data for a relaxed TbPm2Cd2 crystal, as listed in Alexandria via LeMat-Bulk.

Cell: 7.914 7.914 7.914 Å, 108.11 89.75 133.91°
Sites, in units of the cell vectors:
Tb (0.250, 0.250, 0.000)
Tb (0.750, 0.750, 0.000)
Pm (0.119, 0.616, 0.734)
Pm (0.381, 0.116, 0.497)
Pm (0.619, 0.884, 0.503)
Pm (0.881, 0.384, 0.266)
Cd (0.140, 0.263, 0.403)
Cd (0.360, 0.763, 0.124)
Cd (0.640, 0.237, 0.876)
Cd (0.860, 0.737, 0.597)

Energy above the lowest structure with this stoichiometry (meV/atom): 301
E_form (eV/atom): 0.049
Space group: No. 72

---

First-principles (PBE-GGA) data for a relaxed LaZnSe2O8 crystal, as listed in Alexandria via LeMat-Bulk.

Cell: 5.569 5.569 6.994 Å, 90.00 90.00 120.00°
Sites, in units of the cell vectors:
La (0.000, 0.000, 0.000)
Zn (0.000, 0.000, 0.500)
Se (0.333, 0.667, 0.232)
Se (0.667, 0.333, 0.768)
O (0.157, 0.314, 0.292)
O (0.157, 0.843, 0.292)
O (0.314, 0.157, 0.708)
O (0.333, 0.667, 0.991)
O (0.667, 0.333, 0.009)
O (0.686, 0.843, 0.292)
O (0.843, 0.157, 0.708)
O (0.843, 0.686, 0.708)

Space group: No. 164
Raw formation energy (kJ/mol of atoms): -123.71

---

First-principles (PBE-GGA) data for a relaxed TlCuGeB2 crystal, as listed in Alexandria via LeMat-Bulk.

Cell: 4.409 4.409 5.119 Å, 90.00 90.00 90.00°
Sites, in units of the cell vectors:
Tl (0.000, 0.000, 0.000)
Cu (0.000, 0.000, 0.500)
Ge (0.500, 0.500, 0.500)
B (0.000, 0.500, 0.000)
B (0.500, 0.000, 0.000)

E_form (eV/atom): 2.006
Space group: No. 123

---

First-principles (PBE-GGA) data for a relaxed SrZrOs2 crystal, as listed in Alexandria via LeMat-Bulk.

Cell: 6.100 6.100 6.100 Å, 151.08 130.43 58.41°
Sites, in units of the cell vectors:
Sr (0.000, 0.000, 0.000)
Zr (0.701, 0.201, 0.500)
Os (0.282, 0.782, 0.500)
Os (0.475, 0.475, 0.000)

Energy above the lowest structure with this stoichiometry (meV/atom): 158
E_form (eV/atom): 0.444
Space group: No. 44

---

First-principles (PBE-GGA) data for a relaxed Li2LaW crystal, as listed in Alexandria via LeMat-Bulk.

Cell: 2.803 5.242 5.538 Å, 90.00 92.51 90.00°
Sites, in units of the cell vectors:
Li (0.213, 0.000, 0.198)
Li (0.787, 0.000, 0.802)
La (0.000, 0.500, 0.500)
W (0.500, 0.500, 0.000)

Energy above the lowest structure with this stoichiometry (meV/atom): 60
E_form (eV/atom): 0.562
Space group: No. 10

---

Number 1: total moment 0.00 μB per atom. Number 2: total moment 2.04 μB per atom. Number 3: total moment 0.67 μB per atom. Number 4: total moment 0.00 μB per atom. Number 5: total moment 0.05 μB per atom. Number 6: total moment 0.00 μB per atom. Number 7: total moment 0.00 μB per atom. Number 8: total moment 0.03 μB per atom. Number 9: total moment 0.00 μB per atom. Number 10: total moment 0.00 μB per atom. Number 11: total moment 0.00 μB per atom. Number 12: total moment 0.00 μB per atom.